Version a
# InSn3Hg3

A relaxed structure of InSn3Hg3 (GGA-PBE, the Alexandria database).

Cell: 7.7097 7.7097 7.7097 Å, 105.68 105.68 105.68°
Closest atoms and distances in Å follow each position.
Sites, in units of the cell vectors:
1 Hg 0.3427 0.8575 0.0532  2 Sn 3.04-3.26, 1 In 3.09, 3 Hg 3.25-3.37
2 Hg 0.9468 0.6573 0.1425  2 Sn 3.04-3.26, 1 In 3.09, 3 Hg 3.25-3.37
3 Hg 0.8575 0.0532 0.3427  2 Sn 3.04-3.26, 1 In 3.09, 3 Hg 3.25-3.37
4 Hg 0.0532 0.3427 0.8575  2 Sn 3.04-3.26, 1 In 3.09, 3 Hg 3.25-3.37
5 Hg 0.6573 0.1425 0.9468  2 Sn 3.04-3.26, 1 In 3.09, 3 Hg 3.25-3.37
6 Hg 0.1425 0.9468 0.6573  2 Sn 3.04-3.26, 1 In 3.09, 3 Hg 3.25-3.37
7 Sn 0.1781 0.5378 0.4436  2 Hg 3.04-3.26, 1 In 3.04, 3 Sn 3.06-3.08
8 Sn 0.4622 0.5564 0.8219  2 Hg 3.04-3.26, 1 In 3.04, 3 Sn 3.06-3.08
9 Sn 0.8219 0.4622 0.5564  2 Hg 3.04-3.26, 1 In 3.04, 3 Sn 3.06-3.08
10 Sn 0.5564 0.8219 0.4622  2 Hg 3.04-3.26, 1 In 3.04, 3 Sn 3.06-3.08
11 Sn 0.4436 0.1781 0.5378  2 Hg 3.04-3.26, 1 In 3.04, 3 Sn 3.06-3.08
12 Sn 0.5378 0.4436 0.1781  2 Hg 3.04-3.26, 1 In 3.04, 3 Sn 3.06-3.08
13 In 0.1652 0.1652 0.1652  1 In 2.99, 3 Sn 3.04, 3 Hg 3.09
14 In 0.8348 0.8348 0.8348  1 In 2.99, 3 Sn 3.04, 3 Hg 3.09

Results
Volume (Å³ per atom): 28.18
Crystal system: trigonal

=====

Version b
# InSn3Hg3

A relaxed structure of InSn3Hg3 (GGA-PBE, the Alexandria database).

Cell: 8.0198 8.0198 8.0198 Å, 90.00 90.00 90.00°
Closest atoms and distances in Å follow each position.
Sites, in units of the cell vectors:
1 In 0.0000 0.0000 0.0000  12 Hg 4.48, 12 Sn 4.48
2 In 0.5000 0.5000 0.5000  12 Hg 4.48, 12 Sn 4.48
3 Hg 0.2500 0.5000 0.0000  4 Sn 2.84
4 Hg 0.5000 0.0000 0.7500  4 Sn 2.84
5 Hg 0.0000 0.7500 0.5000  4 Sn 2.84
6 Hg 0.0000 0.2500 0.5000  4 Sn 2.84
7 Hg 0.5000 0.0000 0.2500  4 Sn 2.84
8 Hg 0.7500 0.5000 0.0000  4 Sn 2.84
9 Sn 0.0000 0.5000 0.7500  4 Hg 2.84
10 Sn 0.5000 0.2500 0.0000  4 Hg 2.84
11 Sn 0.2500 0.0000 0.5000  4 Hg 2.84
12 Sn 0.5000 0.7500 0.0000  4 Hg 2.84
13 Sn 0.7500 0.0000 0.5000  4 Hg 2.84
14 Sn 0.0000 0.5000 0.2500  4 Hg 2.84

Results
Volume (Å³ per atom): 36.84
Crystal system: cubic

=====

Preferred: version a; penalty for the next structure: 0.266 eV/atom.

=====

Version a
# InSnHg3

A relaxed structure of InSnHg3 (GGA-PBE, the Alexandria database).

Cell: 5.5141 5.5141 5.5141 Å, 90.00 90.00 90.00°
Closest atoms and distances in Å follow each position.
Sites, in units of the cell vectors:
1 Sn 0.5000 0.5000 0.5000  12 Hg 3.90
2 Hg 0.0000 0.5000 0.0000  2 In 2.76
3 Hg 0.0000 0.0000 0.5000  2 In 2.76
4 Hg 0.5000 0.0000 0.0000  2 In 2.76
5 In 0.0000 0.0000 0.0000  6 Hg 2.76

Results
Volume (Å³ per atom): 33.53
Crystal system: cubic

=====

Version b
# InSnHg3

A relaxed structure of InSnHg3 (GGA-PBE, the Alexandria database).

Cell: 5.4948 6.1279 8.8965 Å, 90.00 89.99 90.00°
Closest atoms and distances in Å follow each position.
Sites, in units of the cell vectors:
1 Sn 0.5000 0.2500 0.6739  5 Hg 2.92-3.07
2 Sn 0.5000 0.7500 0.3261  5 Hg 2.92-3.07
3 In 0.0002 0.7500 0.8500  9 Hg 3.12-3.42
4 In 0.9998 0.2500 0.1500  9 Hg 3.12-3.42
5 Hg 0.5000 0.0000 0.0000  4 Hg 3.06-3.40, 2 Sn 3.28, 4 In 3.42
6 Hg 0.4997 0.2500 0.3412  3 Sn 2.96-3.07, 2 In 3.23
7 Hg 0.0000 0.7500 0.2142  2 Sn 2.92, 3 In 3.12-3.24
8 Hg 0.5000 0.5000 0.0000  4 Hg 3.06-3.40, 2 Sn 3.28, 4 In 3.42
9 Hg 0.5003 0.7500 0.6588  3 Sn 2.96-3.07, 2 In 3.23
10 Hg 0.0000 0.2500 0.7858  2 Sn 2.92, 3 In 3.12-3.24

Results
Volume (Å³ per atom): 29.96
Crystal system: orthorhombic

=====

Version c
# InSnHg3

A relaxed structure of InSnHg3 (GGA-PBE, the Alexandria database).

Cell: 3.1736 10.5317 10.5317 Å, 138.94 90.00 90.00°
Closest atoms and distances in Å follow each position.
Sites, in units of the cell vectors:
1 Hg 0.0000 0.2232 0.7768  1 In 2.93, 2 Hg 3.17, 2 Sn 3.21
2 Hg 0.5000 0.7072 0.7563  1 Sn 2.89, 2 In 3.10, 2 Hg 3.17
3 Hg 0.5000 0.2437 0.2928  1 Sn 2.89, 2 In 3.10, 2 Hg 3.17
4 In 0.0000 0.3720 0.6280  5 Hg 2.93-3.10, 2 In 3.17
5 Sn 0.5000 0.0820 0.9180  4 Hg 2.89-3.21, 2 Sn 3.17

Results
Volume (Å³ per atom): 46.25
Crystal system: orthorhombic

=====

Preferred: version b; penalty for the next structure: 0.075 eV/atom.

=====

Version a
# InSn6Hg

A relaxed structure of InSn6Hg (GGA-PBE, the Alexandria database).

Cell: 4.6368 4.6368 10.1718 Å, 90.00 90.00 90.00°
Closest atoms and distances in Å follow each position.
Sites, in units of the cell vectors:
1 In 0.0000 0.0000 0.5000  12 Sn 3.28-3.44
2 Sn 0.5000 0.0000 0.7501  8 Sn 3.28-3.44, 2 Hg 3.44, 2 In 3.44
3 Sn 0.5000 0.5000 0.5000  4 In 3.28, 8 Sn 3.44
4 Sn 0.0000 0.5000 0.7501  8 Sn 3.28-3.44, 2 Hg 3.44, 2 In 3.44
5 Sn 0.0000 0.5000 0.2499  8 Sn 3.28-3.44, 2 Hg 3.44, 2 In 3.44
6 Sn 0.5000 0.5000 0.0000  4 Hg 3.28, 8 Sn 3.44
7 Sn 0.5000 0.0000 0.2499  8 Sn 3.28-3.44, 2 Hg 3.44, 2 In 3.44
8 Hg 0.0000 0.0000 0.0000  12 Sn 3.28-3.44

Results
Volume (Å³ per atom): 27.34
Crystal system: tetragonal

=====

Version b
# InSn6Hg

A relaxed structure of InSn6Hg (GGA-PBE, the Alexandria database).

Cell: 8.4186 6.5349 6.3309 Å, 113.84 97.16 125.72°
Closest atoms and distances in Å follow each position.
Sites, in units of the cell vectors:
1 Sn 0.4936 0.4832 0.2423  1 Hg 2.96, 1 In 3.04, 4 Sn 3.16-3.28
2 Sn 0.5064 0.5168 0.7577  1 Hg 2.96, 1 In 3.04, 4 Sn 3.16-3.28
3 Sn 0.9896 0.4832 0.2409  1 Hg 2.96, 1 In 3.04, 4 Sn 3.16-3.28
4 Sn 0.4917 0.0000 0.7464  8 Sn 3.14-3.43
5 Sn 0.0104 0.5168 0.7591  1 Hg 2.96, 1 In 3.04, 4 Sn 3.16-3.28
6 Sn 0.5083 0.0000 0.2536  8 Sn 3.14-3.43
7 In 0.0000 0.0000 0.5000  4 Sn 3.04, 2 Hg 3.17
8 Hg 0.0000 0.0000 0.0000  4 Sn 2.96, 2 In 3.17

Results
Volume (Å³ per atom): 28.27
Crystal system: monoclinic

=====

Preferred: version a; penalty for the next structure: 0.011 eV/atom.

=====

Version a
# In7SnHg12

A relaxed structure of In7SnHg12 (GGA-PBE, the Alexandria database).

Cell: 9.4183 9.4183 9.4183 Å, 109.47 109.47 109.47°
Closest atoms and distances in Å follow each position.
Sites, in units of the cell vectors:
1 Hg 0.7295 0.1544 0.8838  3 In 2.92-3.01
2 Hg 0.1162 0.2705 0.8456  3 In 2.92-3.01
3 Hg 0.2705 0.8456 0.1162  3 In 2.92-3.01
4 Hg 0.8456 0.5751 0.7295  3 In 2.92-3.01
5 Hg 0.1544 0.4249 0.2705  3 In 2.92-3.01
6 Hg 0.2705 0.1544 0.4249  3 In 2.92-3.01
7 Hg 0.8838 0.7295 0.1544  3 In 2.92-3.01
8 Hg 0.4249 0.2705 0.1544  3 In 2.92-3.01
9 Hg 0.1544 0.8838 0.7295  3 In 2.92-3.01
10 Hg 0.7295 0.8456 0.5751  3 In 2.92-3.01
11 Hg 0.5751 0.7295 0.8456  3 In 2.92-3.01
12 Hg 0.8456 0.1162 0.2705  3 In 2.92-3.01
13 In 0.5000 0.0000 0.5000  4 Hg 3.01
14 In 0.0000 0.0000 0.5000  6 Hg 2.92
15 In 0.5000 0.5000 0.0000  4 Hg 3.01
16 In 0.5000 0.0000 0.0000  6 Hg 2.92
17 In 0.0000 0.5000 0.0000  6 Hg 2.92
18 In 0.0000 0.5000 0.5000  4 Hg 3.01
19 In 0.5000 0.5000 0.5000  6 Hg 2.92
20 Sn 0.0000 0.0000 0.0000  12 Hg 3.39

Results
Volume (Å³ per atom): 32.16
Crystal system: cubic

=====

Version b
# In7SnHg12

A relaxed structure of In7SnHg12 (GGA-PBE, the Alexandria database).

Cell: 8.8806 8.8806 8.8806 Å, 107.92 107.92 107.92°
Closest atoms and distances in Å follow each position.
Sites, in units of the cell vectors:
1 Sn 0.0000 0.0000 0.0000  6 In 3.08
2 Hg 0.3227 0.0869 0.7311  3 In 3.07-3.16, 5 Hg 3.20-3.42
3 Hg 0.9131 0.2689 0.6773  3 In 3.07-3.16, 5 Hg 3.20-3.42
4 Hg 0.4992 0.8462 0.5318  3 Hg 2.95-3.29, 2 In 2.99-3.00
5 Hg 0.0869 0.7311 0.3227  3 In 3.07-3.16, 5 Hg 3.20-3.42
6 Hg 0.8462 0.5318 0.4992  3 Hg 2.95-3.29, 2 In 2.99-3.00
7 Hg 0.7311 0.3227 0.0869  3 In 3.07-3.16, 5 Hg 3.20-3.42
8 Hg 0.4682 0.5008 0.1538  3 Hg 2.95-3.29, 2 In 2.99-3.00
9 Hg 0.5318 0.4992 0.8462  3 Hg 2.95-3.29, 2 In 2.99-3.00
10 Hg 0.6773 0.9131 0.2689  3 In 3.07-3.16, 5 Hg 3.20-3.42
11 Hg 0.1538 0.4682 0.5008  3 Hg 2.95-3.29, 2 In 2.99-3.00
12 Hg 0.2689 0.6773 0.9131  3 In 3.07-3.16, 5 Hg 3.20-3.42
13 Hg 0.5008 0.1538 0.4682  3 Hg 2.95-3.29, 2 In 2.99-3.00
14 In 0.6093 0.9112 0.9081  5 Hg 2.99-3.34, 1 Sn 3.08, 1 In 3.34
15 In 0.3907 0.0888 0.0919  5 Hg 2.99-3.34, 1 Sn 3.08, 1 In 3.34
16 In 0.0888 0.0919 0.3907  5 Hg 2.99-3.34, 1 Sn 3.08, 1 In 3.34
17 In 0.9112 0.9081 0.6093  5 Hg 2.99-3.34, 1 Sn 3.08, 1 In 3.34
18 In 0.0919 0.3907 0.0888  5 Hg 2.99-3.34, 1 Sn 3.08, 1 In 3.34
19 In 0.5000 0.5000 0.5000  6 Hg 3.00
20 In 0.9081 0.6093 0.9112  5 Hg 2.99-3.34, 1 Sn 3.08, 1 In 3.34

Results
Volume (Å³ per atom): 28.40
Crystal system: trigonal

=====

Preferred: version b; penalty for the next structure: 0.088 eV/atom.

=====

Version a
# In2SnHg6

A relaxed structure of In2SnHg6 (GGA-PBE, the Alexandria database).

Cell: 11.1764 12.5772 9.0899 Å, 46.23 48.12 15.21°
Closest atoms and distances in Å follow each position.
Sites, in units of the cell vectors:
1 Hg 0.3568 0.3409 0.5000  4 Hg 3.13-3.44, 4 In 3.17-3.25, 1 Sn 3.25
2 Hg 0.9724 0.0606 0.1287  1 In 3.05, 3 Hg 3.06-3.33, 1 Sn 3.07
3 Hg 0.0276 0.3108 0.1287  1 In 3.05, 3 Hg 3.06-3.33, 1 Sn 3.07
4 Hg 0.9724 0.6892 0.8713  1 In 3.05, 3 Hg 3.06-3.33, 1 Sn 3.07
5 Hg 0.0276 0.9394 0.8713  1 In 3.05, 3 Hg 3.06-3.33, 1 Sn 3.07
6 Hg 0.6432 0.6591 0.5000  4 Hg 3.13-3.44, 4 In 3.17-3.25, 1 Sn 3.25
7 Sn 0.0000 0.0000 0.5000  6 Hg 3.07-3.25, 2 Sn 3.44
8 In 0.5000 0.1288 0.2424  6 Hg 3.05-3.25, 1 In 3.38
9 In 0.5000 0.8712 0.7576  6 Hg 3.05-3.25, 1 In 3.38

Results
Volume (Å³ per atom): 26.90
Crystal system: monoclinic

=====

Version b
# In2SnHg6

A relaxed structure of In2SnHg6 (GGA-PBE, the Alexandria database).

Cell: 3.3467 3.3467 24.7864 Å, 90.00 90.00 120.00°
Closest atoms and distances in Å follow each position.
Sites, in units of the cell vectors:
1 Hg 0.3333 0.6667 0.2209  9 Hg 3.31-3.35, 3 In 3.37
2 Hg 0.6667 0.3333 0.1122  9 Hg 3.31-3.35, 3 Sn 3.39
3 Hg 0.3333 0.6667 0.4409  1 Hg 2.93
4 Hg 0.3333 0.6667 0.5591  1 Hg 2.93
5 Hg 0.6667 0.3333 0.8878  9 Hg 3.31-3.35, 3 Sn 3.39
6 Hg 0.3333 0.6667 0.7791  9 Hg 3.31-3.35, 3 In 3.37
7 In 0.6667 0.3333 0.3325  6 Hg 3.31-3.37, 6 In 3.35
8 In 0.6667 0.3333 0.6675  6 Hg 3.31-3.37, 6 In 3.35
9 Sn 0.3333 0.6667 0.0000  6 Sn 3.35, 6 Hg 3.39

Results
Volume (Å³ per atom): 26.71
Crystal system: hexagonal

=====

Preferred: version a; penalty for the next structure: 0.010 eV/atom.

=====

Version a
# SrInSnHg

A relaxed structure of SrInSnHg (GGA-PBE, the Alexandria database).

Cell: 5.4884 5.4884 5.4884 Å, 60.00 60.00 60.00°
Closest atoms and distances in Å follow each position.
Sites, in units of the cell vectors:
1 In 0.5000 0.5000 0.5000  4 Hg 3.36, 4 Sn 3.36
2 Sn 0.2500 0.2500 0.2500  4 Sr 3.36, 4 In 3.36
3 Sr 0.0000 0.0000 0.0000  4 Sn 3.36, 4 Hg 3.36
4 Hg 0.7500 0.7500 0.7500  4 In 3.36, 4 Sr 3.36

Results
Volume (Å³ per atom): 29.23
Crystal system: cubic

=====

Version b
# SrInSnHg

A relaxed structure of SrInSnHg (GGA-PBE, the Alexandria database).

Cell: 4.8856 4.8938 6.2792 Å, 90.10 90.00 119.94°
Closest atoms and distances in Å follow each position.
Sites, in units of the cell vectors:
1 In 0.9059 0.8117 0.9191  3 Sn 3.11, 3 Hg 3.25-3.27
2 Hg 0.2382 0.4764 0.1792  1 Sn 2.94, 3 Sr 3.23, 3 In 3.25-3.27
3 Sr 0.5713 0.1427 0.4295  3 Hg 3.23, 3 Sn 3.33
4 Sn 0.2389 0.4778 0.7112  1 Hg 2.94, 3 In 3.11

Results
Volume (Å³ per atom): 32.52
Crystal system: monoclinic

=====

Preferred: version a; penalty for the next structure: 0.044 eV/atom.

=====

Version a
# TbInSnHg

A relaxed structure of TbInSnHg (GGA-PBE, the Alexandria database).

Cell: 4.5760 4.7895 4.5542 Å, 90.00 90.00 90.00°
Closest atoms and distances in Å follow each position.
Sites, in units of the cell vectors:
1 Sn 0.0000 0.0000 0.0000  4 Tb 3.23, 4 In 3.30, 4 Hg 3.31
2 Tb 0.5000 0.0000 0.5000  4 Sn 3.23, 4 Hg 3.30, 4 In 3.31
3 Hg 0.5000 0.5000 0.0000  4 In 3.23, 4 Tb 3.30, 4 Sn 3.31
4 In 0.0000 0.5000 0.5000  4 Hg 3.23, 4 Sn 3.30, 4 Tb 3.31

Results
Volume (Å³ per atom): 24.95
Crystal system: orthorhombic

=====

Version b
# TbInSnHg

A relaxed structure of TbInSnHg (GGA-PBE, the Alexandria database).

Cell: 5.3080 5.3080 5.3080 Å, 60.00 60.00 60.00°
Closest atoms and distances in Å follow each position.
Sites, in units of the cell vectors:
1 Tb 0.0000 0.0000 0.0000  4 Hg 3.25, 4 Sn 3.25
2 In 0.5000 0.5000 0.5000  4 Sn 3.25, 4 Hg 3.25
3 Hg 0.7500 0.7500 0.7500  4 Tb 3.25, 4 In 3.25
4 Sn 0.2500 0.2500 0.2500  4 Tb 3.25, 4 In 3.25

Results
Volume (Å³ per atom): 26.44
Crystal system: cubic

=====

Preferred: version a; penalty for the next structure: 0.200 eV/atom.

=====

Version a
# InSnHgTe

A relaxed structure of InSnHgTe (GGA-PBE, the Alexandria database).

Cell: 5.4801 5.4801 5.4801 Å, 60.00 60.00 60.00°
Closest atoms and distances in Å follow each position.
Sites, in units of the cell vectors:
1 Hg 0.0000 0.0000 0.0000  4 Sn 3.36, 4 In 3.36
2 Sn 0.2500 0.2500 0.2500  4 Hg 3.36, 4 Te 3.36
3 In 0.7500 0.7500 0.7500  4 Te 3.36, 4 Hg 3.36
4 Te 0.5000 0.5000 0.5000  4 In 3.36, 4 Sn 3.36

Results
Volume (Å³ per atom): 29.09
Crystal system: cubic

=====

Version b
# InSnHgTe

A relaxed structure of InSnHgTe (GGA-PBE, the Alexandria database).

Cell: 4.1946 4.1946 16.3306 Å, 82.62 82.62 60.00°
Closest atoms and distances in Å follow each position.
Sites, in units of the cell vectors:
1 Hg 0.6871 0.6871 0.9386  3 In 3.08, 3 Hg 3.13
2 Hg 0.3129 0.3129 0.0614  3 In 3.08, 3 Hg 3.13
3 In 0.6070 0.6070 0.1789  3 Hg 3.08, 3 Te 3.23
4 In 0.3930 0.3930 0.8211  3 Hg 3.08, 3 Te 3.23
5 Te 0.1037 0.1037 0.6888  3 Sn 3.08, 3 In 3.23
6 Te 0.8963 0.8963 0.3112  3 Sn 3.08, 3 In 3.23
7 Sn 0.8096 0.8096 0.5711  3 Te 3.08, 3 Sn 3.34
8 Sn 0.1904 0.1904 0.4289  3 Te 3.08, 3 Sn 3.34

Results
Volume (Å³ per atom): 30.76
Crystal system: trigonal

=====

Preferred: version b; penalty for the next structure: 0.074 eV/atom.